Record 1
DFT (PBE-GGA) results for NaSrMgPb after structural relaxation.

Structure (POSCAR):
```
NaSrMgPb
1.0
5.611 0.000 0.000
2.806 4.859 0.000
2.806 1.620 4.581
Sr Na Pb Mg
1 1 1 1
Direct
0.750 0.750 0.750 Sr
0.250 0.250 0.250 Na
0.500 0.500 0.500 Pb
0.000 0.000 0.000 Mg
```

Properties
For the raw total energy, the calculation gives -2.254 eV/atom. As for the crystal system: cubic. Its symmetry is F-43m, No. 216.



Record 2
DFT (PBE-GGA) results for Y2TmZn6 after structural relaxation.

Structure (POSCAR):
```
Y2TmZn6
1.0
-1.642 -3.048 0.542
-3.671 0.778 -6.749
6.815 -3.619 0.293
Y Zn Tm
2 6 1
Direct
0.000 0.333 0.667 Y
0.000 0.667 0.333 Y
0.500 0.668 0.668 Zn
0.500 0.668 0.000 Zn
0.500 0.000 0.668 Zn
0.500 0.332 0.000 Zn
0.500 0.332 0.332 Zn
0.500 0.000 0.332 Zn
0.000 0.000 0.000 Tm
```

Properties
For the raw total energy, the calculation gives -3.174 eV/atom. As for the crystal system: hexagonal. Its symmetry is P6/mmm, No. 191.



Record 3
DFT (PBE-GGA) results for InSiHAu2 after structural relaxation.

Structure (POSCAR):
```
InSiHAu2
1.0
-3.867 0.764 3.126
-2.004 -4.394 -1.406
1.699 -1.570 2.485
In Au Si H
1 2 1 1
Direct
0.500 0.500 0.500 In
0.000 0.500 0.000 Au
0.500 0.000 0.000 Au
0.000 0.000 0.000 Si
0.000 0.000 0.500 H
```

Properties
For the raw total energy, the calculation gives -3.567 eV/atom. As for the crystal system: tetragonal. Its symmetry is P4/mmm, No. 123.



Record 4
DFT (PBE-GGA) results for SrAl8 after structural relaxation.

Structure (POSCAR):
```
SrAl8
1.0
-2.289 -4.344 4.684
-0.029 6.518 -1.892
-4.116 -2.142 -4.953
Al Sr
8 1
Direct
0.686 0.686 0.372 Al
0.000 0.651 0.651 Al
0.651 0.000 0.651 Al
0.000 0.349 0.349 Al
0.314 0.314 0.628 Al
0.349 0.000 0.349 Al
0.314 0.686 0.000 Al
0.686 0.314 0.000 Al
0.000 0.000 0.000 Sr
```

Properties
For the raw total energy, the calculation gives -3.489 eV/atom. As for the crystal system: tetragonal. Its symmetry is I4/mmm, No. 139.



Record 5
DFT (PBE-GGA) results for Tm2PuCrN4 after structural relaxation.

Structure (POSCAR):
```
Tm2PuCrN4
1.0
-0.385 0.413 -3.280
5.331 -2.476 0.751
-4.751 -10.458 -0.760
Pu N Cr Tm
2 8 2 4
Direct
0.103 0.206 0.750 Pu
0.897 0.794 0.250 Pu
0.428 0.856 0.750 N
0.000 0.000 0.000 N
0.734 0.467 0.627 N
0.266 0.533 0.373 N
0.000 0.000 0.500 N
0.572 0.144 0.250 N
0.734 0.467 0.873 N
0.266 0.533 0.127 N
0.163 0.326 0.250 Cr
0.837 0.674 0.750 Cr
0.630 0.260 0.457 Tm
0.370 0.740 0.957 Tm
0.370 0.740 0.543 Tm
0.630 0.260 0.043 Tm
```

Properties
As for the uncorrected formation energy: -1227 meV/atom. For the raw total energy, the calculation gives -9.501 eV/atom. As for the crystal system: orthorhombic. Its symmetry is Cmcm, No. 63.



Record 6
DFT (PBE-GGA) results for CaPaTe3 after structural relaxation.

Structure (POSCAR):
```
CaPaTe3
1.0
-4.271 1.174 1.676
-1.119 -7.697 2.541
4.919 5.234 8.871
Pa Te Ca
2 6 2
Direct
0.750 0.875 0.841 Pa
0.250 0.125 0.159 Pa
0.250 0.935 0.347 Te
0.250 0.454 0.341 Te
0.750 0.546 0.659 Te
0.750 0.227 0.028 Te
0.250 0.773 0.972 Te
0.750 0.065 0.653 Te
0.250 0.275 0.562 Ca
0.750 0.725 0.438 Ca
```

Properties
As for the uncorrected formation energy: -916 meV/atom. For the raw total energy, the calculation gives -5.101 eV/atom. As for the crystal system: monoclinic. Its symmetry is P2_1/m, No. 11.



Record 7
DFT (PBE-GGA) results for SrAcSnI after structural relaxation.

Structure (POSCAR):
```
SrAcSnI
1.0
5.861 0.000 0.000
2.931 5.076 0.000
2.931 1.692 4.786
Sr Ac I Sn
1 1 1 1
Direct
0.250 0.250 0.250 Sr
0.750 0.750 0.750 Ac
0.500 0.500 0.500 I
0.000 0.000 0.000 Sn
```

Properties
As for the uncorrected formation energy: -850 meV/atom. For the raw total energy, the calculation gives -3.686 eV/atom. As for the crystal system: cubic. Its symmetry is F-43m, No. 216.



Record 8
DFT (PBE-GGA) results for DyTlO2 after structural relaxation.

Structure (POSCAR):
```
DyTlO2
1.0
-1.407 -5.833 3.237
2.056 -5.411 3.601
-0.151 -3.701 5.723
Dy O Tl
1 2 1
Direct
0.500 0.500 0.500 Dy
0.776 0.776 0.776 O
0.224 0.224 0.224 O
0.000 0.000 0.000 Tl
```

Properties
As for the uncorrected formation energy: -2366 meV/atom. For the raw total energy, the calculation gives -6.587 eV/atom. The energy above the lowest structure with this stoichiometry comes out at 0.000 eV/atom. As for the crystal system: trigonal. Its symmetry is R-3m, No. 166.



Record 9
DFT (PBE-GGA) results for MnP4 after structural relaxation.

Structure (POSCAR):
```
MnP4
1.0
5.864 0.000 0.001
-2.222 4.599 0.000
-2.073 -0.578 5.423
P Mn
8 2
Direct
0.045 0.443 0.197 P
0.510 0.449 0.695 P
0.422 0.119 0.151 P
0.490 0.551 0.305 P
0.578 0.881 0.849 P
0.955 0.557 0.803 P
0.880 0.126 0.669 P
0.120 0.874 0.331 P
0.215 0.002 0.724 Mn
0.785 0.998 0.276 Mn
```

Properties
For the raw total energy, the calculation gives -6.520 eV/atom. As for the crystal system: triclinic. Its symmetry is P-1, No. 2.



Record 10
DFT (PBE-GGA) results for SrLi9Cu2 after structural relaxation.

Structure (POSCAR):
```
SrLi9Cu2
1.0
6.775 0.000 3.119
3.388 7.998 1.560
0.043 0.000 8.825
Cu Li Sr
4 18 2
Direct
0.375 0.750 0.750 Cu
0.875 0.750 0.250 Cu
0.875 0.250 0.750 Cu
0.875 0.250 0.250 Cu
0.451 0.823 0.424 Li
0.299 0.677 0.076 Li
0.698 0.177 0.576 Li
0.299 0.076 0.677 Li
0.726 0.576 0.823 Li
0.625 0.076 0.323 Li
0.024 0.924 0.677 Li
0.750 0.500 0.500 Li
0.625 0.323 0.076 Li
0.125 0.177 0.424 Li
0.052 0.323 0.924 Li
0.451 0.424 0.823 Li
0.125 0.424 0.177 Li
0.726 0.823 0.576 Li
0.052 0.924 0.323 Li
0.000 0.000 0.000 Li
0.024 0.677 0.924 Li
0.698 0.576 0.177 Li
0.500 0.000 0.000 Sr
0.250 0.500 0.500 Sr
```

Properties
For the raw total energy, the calculation gives -2.248 eV/atom. As for the crystal system: tetragonal. Its symmetry is I4_1/amd, No. 141.



Record 11
DFT (PBE-GGA) results for K3TbHo2Te6 after structural relaxation.

Structure (POSCAR):
```
K3TbHo2Te6
1.0
7.777 -0.001 0.000
-3.887 6.735 0.000
-1.297 -2.246 8.243
Tb Te K Ho
1 6 3 2
Direct
0.000 0.000 0.000 Tb
0.734 0.734 0.208 Te
0.069 0.405 0.208 Te
0.931 0.595 0.792 Te
0.595 0.931 0.792 Te
0.266 0.266 0.792 Te
0.405 0.069 0.208 Te
0.166 0.834 0.500 K
0.500 0.500 0.500 K
0.834 0.166 0.500 K
0.667 0.333 0.000 Ho
0.333 0.667 0.000 Ho
```

Properties
As for the uncorrected formation energy: -1394 meV/atom. For the raw total energy, the calculation gives -4.388 eV/atom. As for the crystal system: monoclinic. Its symmetry is C2/m, No. 12.



Record 12
DFT (PBE-GGA) results for Ba2HoH12Rh3 after structural relaxation.

Structure (POSCAR):
```
Ba2HoH12Rh3
1.0
6.236 -0.386 -0.274
2.744 5.613 -0.274
2.744 1.597 5.388
H Rh Ba Ho
12 3 2 1
Direct
0.283 0.283 0.917 H
0.917 0.283 0.283 H
0.391 0.880 0.880 H
0.120 0.609 0.120 H
0.120 0.120 0.609 H
0.083 0.717 0.717 H
0.880 0.880 0.391 H
0.880 0.391 0.880 H
0.283 0.917 0.283 H
0.609 0.120 0.120 H
0.717 0.717 0.083 H
0.717 0.083 0.717 H
0.000 0.500 0.000 Rh
0.500 0.000 0.000 Rh
0.000 0.000 0.500 Rh
0.617 0.617 0.617 Ba
0.383 0.383 0.383 Ba
0.000 0.000 0.000 Ho
```

Properties
For the raw total energy, the calculation gives -4.378 eV/atom. As for the crystal system: trigonal. Its symmetry is R-3m, No. 166.